No. 1
This record from Alexandria via LeMat-Bulk describes FeS after structural relaxation. The functional is PBE.

The value obtained for the energy relative to the elements, uncorrected is -0.0956 eV/atom. The density of states at the Fermi level is 10.0 states/eV/cell.

abc: 3.3765 3.3765 14.5563
angles: 90.00 90.00 120.00
Space group P6_3/mmc (No. 194)
Symmetry-distinct sites (fractional):
Fe 0.0000 0.0000 0.1747 [4 per cell]
S 0.3333 0.6667 0.1196 [4 per cell]


No. 2
This record from Alexandria via LeMat-Bulk describes SrLiV after structural relaxation. The functional is PBE.

The value obtained for the relative energy among the computed polymorphs is 0.089 eV per atom. As for the formation energy: 0.541 eV/atom. The density of states at the Fermi level is 14.7 states/eV/cell.

abc: 7.617 3.420 11.709
angles: 90.00 90.00 90.00
Space group Pnma (No. 62)
Symmetry-distinct sites (fractional):
Sr 0.151 0.250 0.240 [4 per cell]
Li 0.155 0.250 0.957 [4 per cell]
V 0.070 0.250 0.547 [4 per cell]


No. 3
This record from Alexandria via LeMat-Bulk describes YP2NO after structural relaxation. The functional is PBE.

The value obtained for the relative energy among the computed polymorphs is 0.000 eV per atom. The value obtained for the energy relative to the elements, uncorrected is -0.2660 eV/atom. The density of states at the Fermi level is 2.3 states/eV/cell.

abc: 3.582 3.582 5.749
angles: 90.00 90.00 90.00
Space group P4/mmm (No. 123)
Symmetry-distinct sites (fractional):
Y 0.000 0.000 0.000 [1 per cell]
P 0.000 0.500 0.500 [2 per cell]
N 0.500 0.500 0.500 [1 per cell]
O 0.500 0.500 0.000 [1 per cell]


No. 4
This record from Alexandria via LeMat-Bulk describes Pr2SmCu2 after structural relaxation. The functional is PBE.

As for the formation energy: -0.085 eV/atom. The density of states at the Fermi level is 19.7 states/eV/cell.

abc: 12.005 4.718 10.590
angles: 90.00 120.83 90.00
Space group C2/m (No. 12)
Symmetry-distinct sites (fractional):
Pr 0.035 0.000 0.191 [4 per cell]
Pr 0.182 0.000 0.589 [4 per cell]
Sm 0.192 0.500 0.849 [4 per cell]
Cu 0.049 0.500 0.417 [4 per cell]
Cu 0.123 0.500 0.070 [4 per cell]


No. 5
This record from Alexandria via LeMat-Bulk describes Li8Hg2Sb after structural relaxation. The functional is PBE.

The value obtained for the energy relative to the elements, uncorrected is -0.3739 eV/atom. The density of states at the Fermi level is 5.4 states/eV/cell.

abc: 14.509 4.369 6.676
angles: 90.00 109.73 90.00
Space group C2/m (No. 12)
Symmetry-distinct sites (fractional):
Li 0.033 0.000 0.246 [4 per cell]
Li 0.102 0.500 0.936 [4 per cell]
Li 0.149 0.000 0.690 [4 per cell]
Li 0.174 0.500 0.409 [4 per cell]
Hg 0.204 0.000 0.152 [4 per cell]
Sb 0.000 0.500 0.500 [2 per cell]


No. 6
This record from Alexandria via LeMat-Bulk describes MgTl2Cl after structural relaxation. The functional is PBE.

The value obtained for the relative energy among the computed polymorphs is 0.224 eV per atom. The value obtained for the energy relative to the elements, uncorrected is -0.3037 eV/atom. The density of states at the Fermi level is 3.2 states/eV/cell.

abc: 3.7136 3.7136 28.9360
angles: 90.00 90.00 120.00
Space group R-3m (No. 166, hexagonal axes)
Symmetry-distinct sites (fractional):
Mg 0.0000 0.0000 0.0000 [3 per cell]
Tl 0.0000 0.0000 0.2451 [6 per cell]
Cl 0.0000 0.0000 0.5000 [3 per cell]


No. 7
This record from Alexandria via LeMat-Bulk describes Tl2ZnBiRh after structural relaxation. The functional is PBE.

As for the formation energy: 0.474 eV/atom. The density of states at the Fermi level is 3.1 states/eV/cell.

abc: 5.234 5.234 4.808
angles: 90.00 90.00 90.00
Space group P4/mmm (No. 123)
Symmetry-distinct sites (fractional):
Tl 0.000 0.500 0.000 [2 per cell]
Zn 0.000 0.000 0.000 [1 per cell]
Bi 0.500 0.500 0.500 [1 per cell]
Rh 0.000 0.000 0.500 [1 per cell]


No. 8
This record from Alexandria via LeMat-Bulk describes Ba4GaAg after structural relaxation. The functional is PBE.

The value obtained for the relative energy among the computed polymorphs is 0.026 eV per atom. As for the formation energy: -0.178 eV/atom. The density of states at the Fermi level is 28.2 states/eV/cell.

abc: 10.894 15.709 7.865
angles: 90.00 125.87 90.00
Space group C2/c (No. 15)
Symmetry-distinct sites (fractional):
Ba 0.132 0.185 0.100 [8 per cell]
Ba 0.191 0.445 0.257 [8 per cell]
Ga 0.000 0.365 0.750 [4 per cell]
Ag 0.000 0.001 0.250 [4 per cell]


No. 9
This record from Alexandria via LeMat-Bulk describes Li8Cd3Hg after structural relaxation. The functional is PBE.

As for the formation energy: -0.152 eV/atom. The density of states at the Fermi level is 27.4 states/eV/cell.

abc: 5.921 10.018 16.029
angles: 90.00 90.00 90.00
Space group Fmmm (No. 69)
Symmetry-distinct sites (fractional):
Li 0.000 0.246 0.091 [16 per cell]
Li 0.249 0.000 0.157 [16 per cell]
Cd 0.000 0.000 0.500 [4 per cell]
Cd 0.250 0.250 0.250 [8 per cell]
Hg 0.000 0.000 0.000 [4 per cell]


No. 10
This record from Alexandria via LeMat-Bulk describes Dy5Tl2HgRh2 after structural relaxation. The functional is PBE.

As for the formation energy: -0.542 eV/atom. The density of states at the Fermi level is 14.5 states/eV/cell.

abc: 11.790 11.790 3.682
angles: 90.00 90.00 90.00
Space group P4/mbm (No. 127)
Symmetry-distinct sites (fractional):
Dy 0.000 0.500 0.000 [2 per cell]
Dy 0.080 0.203 0.000 [8 per cell]
Tl 0.172 0.672 0.500 [4 per cell]
Hg 0.000 0.000 0.500 [2 per cell]
Rh 0.132 0.368 0.500 [4 per cell]


No. 11
This record from Alexandria via LeMat-Bulk describes PmSi2NiRh after structural relaxation. The functional is PBE.

The value obtained for the energy relative to the elements, uncorrected is -0.9237 eV/atom. The density of states at the Fermi level is 8.9 states/eV/cell.

abc: 4.044 4.044 10.016
angles: 90.00 90.00 90.00
Space group I-4m2 (No. 119)
Symmetry-distinct sites (fractional):
Pm 0.000 0.000 0.000 [2 per cell]
Si 0.000 0.000 0.377 [4 per cell]
Ni 0.000 0.500 0.750 [2 per cell]
Rh 0.000 0.500 0.250 [2 per cell]


No. 12
This record from Alexandria via LeMat-Bulk describes TiIn2W after structural relaxation. The functional is PBE.

The value obtained for the relative energy among the computed polymorphs is 0.282 eV per atom. As for the formation energy: 0.730 eV/atom. The density of states at the Fermi level is 3.7 states/eV/cell.

abc: 7.570 7.570 5.722
angles: 90.00 90.00 90.00
Space group I-42d (No. 122)
Symmetry-distinct sites (fractional):
Ti 0.000 0.000 0.000 [4 per cell]
In 0.248 0.250 0.625 [8 per cell]
W 0.000 0.000 0.500 [4 per cell]


Number 1: mass density 4.06 Mg/m³. Number 2: mass density 3.17 Mg/m³. Number 3: mass density 4.07 Mg/m³. Number 4: mass density 7.21 Mg/m³. Number 5: mass density 4.82 Mg/m³. Number 6: mass density 6.75 Mg/m³. Number 7: mass density 9.91 Mg/m³. Number 8: mass density 4.43 Mg/m³. Number 9: mass density 4.15 Mg/m³. Number 10: mass density 10.56 Mg/m³. Number 11: mass density 7.36 Mg/m³. Number 12: mass density 9.35 Mg/m³.